A geometry-optimized Rb4H2BrCl structure, computed with GGA-PBE.

```
Rb4H2BrCl
1.0
-0.116 0.463 -4.543
-3.478 -7.156 -0.640
-7.875 0.878 0.291
Rb H Br Cl
4 2 1 1
Direct
0.500 0.774 0.249 Rb
0.000 0.221 0.267 Rb
0.000 0.779 0.733 Rb
0.500 0.226 0.751 Rb
0.500 0.000 0.500 H
0.000 0.000 0.000 H
0.500 0.500 0.000 Br
0.000 0.500 0.500 Cl
```

Output
Energy ... -22.01 eV per cell



A geometry-optimized Rb6H3BrCl2 structure, computed with GGA-PBE.

```
Rb6H3BrCl2
1.0
-3.363 -3.063 -0.192
4.911 -5.022 -5.892
4.383 -1.994 9.031
Cl Br Rb H
2 1 6 3
Direct
0.167 0.334 0.334 Cl
0.833 0.666 0.666 Cl
0.500 0.000 0.000 Br
0.326 0.925 0.651 Rb
0.337 0.407 0.674 Rb
0.663 0.593 0.326 Rb
0.005 0.728 0.009 Rb
0.995 0.272 0.991 Rb
0.674 0.075 0.349 Rb
0.832 0.169 0.665 H
0.168 0.831 0.335 H
0.500 0.500 0.000 H
```

Output
Energy ... -33.33 eV per cell



A geometry-optimized Rb4HBr2Cl structure, computed with GGA-PBE.

```
Rb4HBr2Cl
1.0
-0.121 0.841 4.681
-5.041 -6.439 1.026
7.850 -2.543 0.660
Br Rb Cl H
2 4 1 1
Direct
0.500 0.000 0.500 Br
0.000 0.500 0.500 Br
0.500 0.764 0.771 Rb
0.000 0.247 0.768 Rb
0.500 0.236 0.229 Rb
0.000 0.753 0.232 Rb
0.500 0.500 0.000 Cl
0.000 0.000 0.000 H
```

Output
Energy ... -23.51 eV per cell



A geometry-optimized Rb2HBr6Cl structure, computed with GGA-PBE.

```
Rb2HBr6Cl
1.0
7.612 0.000 0.000
0.000 7.612 0.000
3.806 3.806 5.793
H Cl Br Rb
1 1 6 2
Direct
0.500 0.500 0.000 H
0.000 0.000 0.000 Cl
0.701 0.701 0.000 Br
0.212 0.212 0.576 Br
0.299 0.701 0.000 Br
0.788 0.788 0.424 Br
0.701 0.299 0.000 Br
0.299 0.299 0.000 Br
0.750 0.250 0.500 Rb
0.250 0.750 0.500 Rb
```

Output
Energy ... -21.50 eV per cell



Total moment list, top to bottom, in μB/f.u.: 0.08 0.10 0.04 1.52